DFT (PBE) results for a relaxed structure of ZnAu2.

Cell lengths 2.9545, 7.7263, 4.5020 Å; angles 90.00, 90.00, 90.00 degrees
Space group Pnnm (No. 58)
One atom of each set of equivalent atoms:
Zn: 0.0000 0.0000 0.0000 (multiplicity 2)
Au: 0.2495 0.1669 0.5000 (multiplicity 4)

The value obtained for the density of states at the Fermi level is 2.55 states/eV per cell. The value obtained for the energy of formation from the pure elements is -0.12 eV/atom. The value obtained for the density is 14.84 g cm⁻³.

***

DFT (PBE) results for a relaxed structure of Zn5Au4.

Cell lengths 10.0638, 8.5658, 3.6262 Å; angles 90.00, 109.89, 90.00 degrees
Space group C2/m (No. 12)
One atom of each set of equivalent atoms:
Zn: 0.0000 0.0000 0.0000 (multiplicity 2)
Zn: 0.0000 0.3499 0.0000 (multiplicity 4)
Zn: 0.1814 0.5000 0.6860 (multiplicity 4)
Au: 0.1532 0.1748 0.6540 (multiplicity 8)

The value obtained for the density of states at the Fermi level is 4.72 states/eV per cell. The calculation puts the relative energy among the computed polymorphs at 0.030 eV/atom. The value obtained for the energy of formation from the pure elements is -0.15 eV/atom. The value obtained for the density is 12.60 g cm⁻³.

***

DFT (PBE) results for a relaxed structure of ZnAu2.

Cell lengths 7.6936, 7.6936, 2.9547 Å; angles 90.00, 90.00, 120.00 degrees
Space group P-62m (No. 189)
One atom of each set of equivalent atoms:
Zn: 0.0000 0.0000 0.0000 (multiplicity 1)
Zn: 0.3333 0.6667 0.5000 (multiplicity 2)
Au: 0.0000 0.2980 0.5000 (multiplicity 3)
Au: 0.0000 0.6311 0.0000 (multiplicity 3)

The value obtained for the density of states at the Fermi level is 3.27 states/eV per cell. The value obtained for the energy of formation from the pure elements is -0.16 eV/atom. The value obtained for the density is 15.11 g cm⁻³.

***

DFT (PBE) results for a relaxed structure of Zn5Au.

Cell lengths 7.1763, 7.1763, 7.1763 Å; angles 90.00, 90.00, 90.00 degrees
Space group F-43m (No. 216)
One atom of each set of equivalent atoms:
Zn: 0.0000 0.0000 0.0000 (multiplicity 4)
Zn: 0.1248 0.1248 0.3752 (multiplicity 16)
Au: 0.2500 0.2500 0.7500 (multiplicity 4)

The value obtained for the density of states at the Fermi level is 2.79 states/eV per cell. The value obtained for the energy of formation from the pure elements is -0.01 eV/atom. The value obtained for the density is 9.42 g cm⁻³.

***

DFT (PBE) results for a relaxed structure of Zn5Au.

Cell lengths 2.8424, 2.8424, 11.5858 Å; angles 90.00, 90.00, 90.00 degrees
Space group P4/mmm (No. 123)
One atom of each set of equivalent atoms:
Zn: 0.0000 0.0000 0.0000 (multiplicity 1)
Zn: 0.0000 0.0000 0.3272 (multiplicity 2)
Zn: 0.5000 0.5000 0.1652 (multiplicity 2)
Au: 0.5000 0.5000 0.5000 (multiplicity 1)

The value obtained for the density of states at the Fermi level is 2.35 states/eV per cell. The value obtained for the energy of formation from the pure elements is -0.02 eV/atom. The value obtained for the density is 9.30 g cm⁻³.

***

DFT (PBE) results for a relaxed structure of ZnAu.

Cell lengths 7.3253, 7.3253, 4.6782 Å; angles 90.00, 90.00, 120.00 degrees
Space group P6_3/m (No. 176)
One atom of each set of equivalent atoms:
Zn: 0.0568 0.2663 0.2500 (multiplicity 6)
Au: 0.0897 0.4540 0.7500 (multiplicity 6)

The value obtained for the density of states at the Fermi level is 3.66 states/eV per cell. The value obtained for the energy of formation from the pure elements is -0.11 eV/atom. The value obtained for the density is 12.02 g cm⁻³.

***

DFT (PBE) results for a relaxed structure of ZnAu2.

Cell lengths 4.0225, 4.0225, 25.1673 Å; angles 90.00, 90.00, 90.00 degrees
Space group I4_1/amd (No. 141, origin choice 2)
One atom of each set of equivalent atoms:
Zn: 0.0000 0.2500 0.2933 (multiplicity 8)
Au: 0.0000 0.2500 0.1245 (multiplicity 8)
Au: 0.0000 0.2500 0.7893 (multiplicity 8)

The value obtained for the density of states at the Fermi level is 8.62 states/eV per cell. The value obtained for the energy of formation from the pure elements is -0.14 eV/atom. The value obtained for the density is 14.98 g cm⁻³.

***

DFT (PBE) results for a relaxed structure of ZnAu5.

Cell lengths 4.7552, 3.0492, 14.5672 Å; angles 90.00, 90.00, 90.00 degrees
Space group Amm2 (No. 38)
One atom of each set of equivalent atoms:
Zn: 0.0000 0.0000 0.0000 (multiplicity 2)
Au: 0.0000 0.0000 0.3398 (multiplicity 2)
Au: 0.0000 0.0000 0.6596 (multiplicity 2)
Au: 0.5000 0.0000 0.2157 (multiplicity 2)
Au: 0.5000 0.0000 0.5471 (multiplicity 2)
Au: 0.5000 0.0000 0.8834 (multiplicity 2)

The value obtained for the density of states at the Fermi level is 2.59 states/eV per cell. The value obtained for the energy of formation from the pure elements is -0.06 eV/atom. The value obtained for the density is 16.51 g cm⁻³.

***

DFT (PBE) results for a relaxed structure of ZnAu2.

Cell lengths 2.9633, 2.9633, 23.9782 Å; angles 90.00, 90.00, 90.00 degrees
Space group I4_1/amd (No. 141, origin choice 2)
One atom of each set of equivalent atoms:
Zn: 0.0000 0.2500 0.3750 (multiplicity 4)
Au: 0.0000 0.2500 0.8015 (multiplicity 8)

The value obtained for the density of states at the Fermi level is 4.44 states/eV per cell. The value obtained for the energy of formation from the pure elements is -0.11 eV/atom. The value obtained for the density is 14.49 g cm⁻³.

***

DFT (PBE) results for a relaxed structure of ZnAu2.

Cell lengths 11.8258, 11.8258, 11.8258 Å; angles 90.00, 90.00, 90.00 degrees
Space group Fd-3m (No. 227, origin choice 2)
One atom of each set of equivalent atoms:
Zn: 0.0335 0.0335 0.2165 (multiplicity 32)
Au: 0.0000 0.0000 0.0000 (multiplicity 16)
Au: 0.0582 0.3750 0.8750 (multiplicity 48)

The value obtained for the density of states at the Fermi level is 59.75 states/eV per cell. The value obtained for the energy of formation from the pure elements is -0.07 eV/atom. The value obtained for the density is 14.76 g cm⁻³.

***

DFT (PBE) results for a relaxed structure of ZnAu.

Cell lengths 2.9525, 2.9525, 13.1583 Å; angles 90.00, 90.00, 120.00 degrees
Space group R-3m (No. 166, hexagonal axes)
One atom of each set of equivalent atoms:
Zn: 0.0000 0.0000 0.0000 (multiplicity 3)
Au: 0.0000 0.0000 0.5000 (multiplicity 3)

The value obtained for the density of states at the Fermi level is 2.07 states/eV per cell. The value obtained for the energy of formation from the pure elements is -0.12 eV/atom. The value obtained for the density is 13.16 g cm⁻³.

***

DFT (PBE) results for a relaxed structure of ZnAu.

Cell lengths 3.2796, 4.5613, 4.4816 Å; angles 90.00, 90.00, 90.00 degrees
Space group Pmmn (No. 59, origin choice 2)
One atom of each set of equivalent atoms:
Zn: 0.2500 0.2500 0.0775 (multiplicity 2)
Au: 0.2500 0.7500 0.3966 (multiplicity 2)

The value obtained for the density of states at the Fermi level is 1.37 states/eV per cell. The value obtained for the energy of formation from the pure elements is -0.17 eV/atom. The value obtained for the density is 13.00 g cm⁻³.

***

What is the energy of formation from the pure elements in the fifth record?
-0.02 eV/atom